The following is a PBE calculation of a geometry-optimized NdTm2Pb structure, from Alexandria via LeMat-Bulk.

abc: 3.6425 3.6425 9.1764
angles: 90.00 90.00 90.00
Atoms (fractional coordinates):
Pb1 0.5000 0.5000 0.0000
Tm1 0.0000 0.0000 0.2302
Tm2 0.0000 0.0000 0.7698
Nd1 0.5000 0.5000 0.5000

Properties
Symmetry   No. 123
Energy relative to the elements   -0.8 eV per formula unit
Energy relative to the lowest polymorph listed for this composition   119 meV per atom



The following is a PBE calculation of a geometry-optimized Y2Te2Au structure, from Alexandria via LeMat-Bulk.

abc: 8.3492 8.3492 3.8706
angles: 90.00 90.00 90.00
Atoms (fractional coordinates):
Te1 0.1442 0.3558 0.0000
Te2 0.6442 0.1442 0.0000
Te3 0.8558 0.6442 0.0000
Te4 0.3558 0.8558 0.0000
Y1 0.8438 0.3438 0.5000
Y2 0.3438 0.1562 0.5000
Y3 0.6562 0.8438 0.5000
Y4 0.1562 0.6562 0.5000
Au1 0.5000 0.5000 0.0000
Au2 0.0000 0.0000 0.0000

Properties
Symmetry   No. 127
Formation energy without anion corrections   -902 meV per atom
Energy relative to the lowest polymorph listed for this composition   169 meV per atom



The following is a PBE calculation of a geometry-optimized Cu3CF structure, from Alexandria via LeMat-Bulk.

abc: 3.8630 3.8630 3.8630
angles: 90.00 90.00 90.00
Atoms (fractional coordinates):
Cu1 0.0000 0.0000 0.5000
Cu2 0.0000 0.5000 0.0000
Cu3 0.5000 0.0000 0.0000
C1 0.0000 0.0000 0.0000
F1 0.5000 0.5000 0.5000

Properties
Symmetry   No. 221
Formation energy without anion corrections   161 meV per atom
Energy relative to the lowest polymorph listed for this composition   0 meV per atom



The following is a PBE calculation of a geometry-optimized ZnFeSeN2 structure, from Alexandria via LeMat-Bulk.

abc: 3.5906 3.5906 5.3370
angles: 90.00 90.00 90.00
Atoms (fractional coordinates):
Zn1 0.5000 0.5000 0.5000
N1 0.0000 0.5000 0.0000
N2 0.5000 0.0000 0.0000
Se1 0.0000 0.0000 0.5000
Fe1 0.0000 0.0000 0.0000

Properties
Symmetry   No. 123
Formation energy without anion corrections   624 meV per atom
Energy relative to the lowest polymorph listed for this composition   0 meV per atom



The following is a PBE calculation of a geometry-optimized Cs2Tl5Rh structure, from Alexandria via LeMat-Bulk.

abc: 6.9522 6.9522 8.0586
angles: 115.56 115.56 90.00
Atoms (fractional coordinates):
Cs1 0.2820 0.7820 0.5639
Cs2 0.7820 0.2820 0.5639
Tl1 0.7663 0.7663 0.0408
Tl2 0.7055 0.7055 0.4111
Tl3 0.7663 0.2745 0.0407
Tl4 0.2745 0.7662 0.0407
Tl5 0.2744 0.2744 0.0407
Rh1 0.9261 0.9261 0.8524

Properties
Symmetry   No. 107
Energy relative to the elements   0.4 eV per formula unit



The following is a PBE calculation of a geometry-optimized Nb2TlBr structure, from Alexandria via LeMat-Bulk.

abc: 4.8065 4.8065 4.8065
angles: 60.00 60.00 60.00
Atoms (fractional coordinates):
Tl1 0.5000 0.5000 0.5000
Br1 0.0000 0.0000 0.0000
Nb1 0.7500 0.7500 0.7500
Nb2 0.2500 0.2500 0.2500

Properties
Symmetry   No. 225
Formation energy without anion corrections   601 meV per atom
Energy relative to the lowest polymorph listed for this composition   0 meV per atom



The following is a PBE calculation of a geometry-optimized Tm5Cd2Sb structure, from Alexandria via LeMat-Bulk.

abc: 8.1929 8.1929 8.6336
angles: 118.33 118.33 90.00
Atoms (fractional coordinates):
Tm1 0.8049 0.9969 0.3018
Tm2 0.5000 0.5000 0.0000
Tm3 0.0031 0.5031 0.6982
Tm4 0.4969 0.3049 0.3018
Tm5 0.6951 0.1951 0.6982
Tm6 0.1951 0.0031 0.6982
Tm7 0.5031 0.6951 0.6982
Tm8 0.3049 0.8049 0.3018
Tm9 0.0000 0.0000 0.0000
Tm10 0.9969 0.4969 0.3018
Cd1 0.8616 0.6384 0.0000
Cd2 0.3616 0.8616 0.0000
Cd3 0.6384 0.1384 0.0000
Cd4 0.1384 0.3616 0.0000
Sb1 0.2500 0.2500 0.5000
Sb2 0.7500 0.7500 0.5000

Properties
Symmetry   No. 140
Formation energy without anion corrections   -408 meV per atom



The following is a PBE calculation of a geometry-optimized K4RbCu3F12 structure, from Alexandria via LeMat-Bulk.

abc: 7.8114 7.8114 7.8114
angles: 109.47 109.47 109.47
Last column: magnetic moment on the atom in μB.
Atoms (fractional coordinates):
K1 0.0000 0.5000 0.0000  0.00
K2 0.5000 0.0000 0.0000  0.00
K3 0.0000 0.0000 0.5000  0.00
K4 0.5000 0.5000 0.5000  0.00
F1 0.1417 0.7922 0.6504  0.06
F2 0.1417 0.4913 0.3496  0.06
F3 0.8583 0.5087 0.6504  0.06
F4 0.6504 0.1417 0.7922  0.06
F5 0.4913 0.3496 0.1417  0.06
F6 0.3496 0.8583 0.2078  0.06
F7 0.3496 0.1417 0.4913  0.06
F8 0.7922 0.6504 0.1417  0.06
F9 0.5087 0.6504 0.8583  0.06
F10 0.6504 0.8583 0.5087  0.06
F11 0.8583 0.2078 0.3496  0.06
F12 0.2078 0.3496 0.8583  0.06
Cu1 0.0000 0.5000 0.5000  0.43
Cu2 0.5000 0.0000 0.5000  0.43
Cu3 0.5000 0.5000 0.0000  0.43
Rb1 0.0000 0.0000 0.0000  0.00

Properties
Symmetry   No. 204
Formation energy without anion corrections   -2167 meV per atom



The following is a PBE calculation of a geometry-optimized Ac4AlI5 structure, from Alexandria via LeMat-Bulk.

abc: 4.6595 9.6122 10.7034
angles: 102.41 102.57 90.00
Atoms (fractional coordinates):
I1 0.8275 0.1686 0.6550
I2 0.1683 0.3375 0.3366
I3 0.5000 0.5000 0.0000
I4 0.1725 0.8314 0.3450
I5 0.8317 0.6625 0.6634
Al1 0.5000 0.0000 0.0000
Ac1 0.6517 0.0789 0.3034
Ac2 0.0000 0.7760 0.9999
Ac3 0.0000 0.2240 0.0001
Ac4 0.3483 0.9211 0.6966

Properties
Symmetry   No. 12
Formation energy without anion corrections   -1100 meV per atom



The following is a PBE calculation of a geometry-optimized BaCaTb structure, from Alexandria via LeMat-Bulk.

abc: 3.9550 3.9550 8.7233
angles: 103.10 103.10 90.00
Atoms (fractional coordinates):
Ca1 0.6806 0.6806 0.3611
Ba1 0.9933 0.9933 0.9866
Tb1 0.3261 0.3261 0.6523

Properties
Symmetry   No. 107
Energy relative to the elements   0.6 eV per formula unit
Energy relative to the lowest polymorph listed for this composition   8 meV per atom



The following is a PBE calculation of a geometry-optimized Sm2MnIr2 structure, from Alexandria via LeMat-Bulk.

abc: 5.7255 5.7255 7.8907
angles: 77.06 77.06 58.44
Last column: magnetic moment on the atom in μB.
Atoms (fractional coordinates):
Ir1 0.9955 0.2713 0.9932  0.15
Ir2 0.0045 0.7287 0.0068  0.15
Ir3 0.2713 0.9955 0.4932  0.15
Ir4 0.7287 0.0045 0.5068  0.15
Sm1 0.7875 0.5067 0.3514  -0.04
Sm2 0.4933 0.2125 0.1486  -0.04
Sm3 0.2125 0.4933 0.6486  -0.04
Sm4 0.5067 0.7875 0.8514  -0.04
Mn1 0.1262 0.8738 0.2500  3.50
Mn2 0.8738 0.1262 0.7500  3.50

Properties
Symmetry   No. 15
Energy relative to the elements   -2.7 eV per formula unit



The following is a PBE calculation of a geometry-optimized LiSc2Pd8 structure, from Alexandria via LeMat-Bulk.

abc: 4.1021 6.3114 7.3837
angles: 105.91 106.13 90.00
Atoms (fractional coordinates):
Pd1 0.0387 0.7262 0.0774
Pd2 0.9613 0.2738 0.9226
Pd3 0.3270 0.0889 0.6539
Pd4 0.1448 0.1920 0.2896
Pd5 0.5954 0.4513 0.1909
Pd6 0.8552 0.8080 0.7104
Pd7 0.4046 0.5487 0.8091
Pd8 0.6730 0.9111 0.3461
Sc1 0.7827 0.3351 0.5654
Sc2 0.2173 0.6649 0.4346
Li1 0.5000 0.0000 0.0000

Properties
Symmetry   No. 12
Energy relative to the elements   -6.6 eV per formula unit
Energy relative to the lowest polymorph listed for this composition   0 meV per atom



Question: Which formula does entry 3 have?
Answer: Cu3CF



Question: Which formula does entry 8 have?
Answer: K4RbCu3F12